--- P ---
This record from Alexandria via LeMat-Bulk describes Ba2Sr2Tl after structural relaxation. The functional is PBE.

Values from the calculation:
N(E_F) in states/eV/f.u.: 11.29

a b c (Å): 8.8773 8.8773 6.6860
angles (deg): 90.00 90.00 90.00
Last column: nearest neighbours and their distance in Å.
Sites, in units of the cell vectors:
Sr1 0.3456 0.8456 0.0000  2 Tl 3.36
Sr2 0.8456 0.6544 0.0000  2 Tl 3.36
Sr3 0.6544 0.1544 0.0000  2 Tl 3.36
Sr4 0.1544 0.3456 0.0000  2 Tl 3.36
Tl1 0.0000 0.0000 0.0000  4 Sr 3.36
Tl2 0.5000 0.5000 0.0000  4 Sr 3.36
Ba1 0.1748 0.6748 0.5000  6 Sr 3.97-4.44, 1 Ba 4.39
Ba2 0.6748 0.8252 0.5000  6 Sr 3.97-4.44, 1 Ba 4.39
Ba3 0.8252 0.3252 0.5000  6 Sr 3.97-4.44, 1 Ba 4.39
Ba4 0.3252 0.1748 0.5000  6 Sr 3.97-4.44, 1 Ba 4.39

=====

--- Q ---
This record from Alexandria via LeMat-Bulk describes Ba2Sr2Tl after structural relaxation. The functional is PBE.

Values from the calculation:
N(E_F) in states/eV/f.u.: 5.49

a b c (Å): 7.6376 7.6376 10.3794
angles (deg): 102.98 102.98 112.92
Last column: nearest neighbours and their distance in Å.
Sites, in units of the cell vectors:
Ba1 0.7504 0.7504 0.5000  2 Ba 4.21-4.23, 8 Sr 4.33-4.34
Ba2 0.2486 0.2486 0.9973  4 Tl 3.82, 4 Sr 4.16-4.17, 2 Ba 4.22
Ba3 0.7514 0.7514 0.0027  4 Tl 3.82, 4 Sr 4.16-4.17, 2 Ba 4.22
Ba4 0.2496 0.2496 0.5000  2 Ba 4.21-4.23, 8 Sr 4.33-4.34
Sr1 0.1430 0.6407 0.2838  2 Tl 3.42
Sr2 0.8570 0.3593 0.7162  2 Tl 3.42
Sr3 0.6407 0.1430 0.2838  2 Tl 3.42
Sr4 0.3593 0.8570 0.7162  2 Tl 3.42
Tl1 0.2500 0.7500 0.0000  4 Sr 3.42, 4 Ba 3.82
Tl2 0.7500 0.2500 0.0000  4 Sr 3.42, 4 Ba 3.82

=====

--- R ---
This record from Alexandria via LeMat-Bulk describes Ba2Sr2Tl after structural relaxation. The functional is PBE.

Values from the calculation:
N(E_F) in states/eV/f.u.: 7.49

a b c (Å): 9.2495 8.7466 9.4118
angles (deg): 73.68 57.90 58.08
Last column: nearest neighbours and their distance in Å.
Sites, in units of the cell vectors:
Ba1 0.5574 0.4359 0.7576  1 Tl 3.43
Ba2 0.4426 0.5641 0.2424  1 Tl 3.43
Ba3 0.9933 0.5641 0.7576  1 Tl 3.43
Ba4 0.0067 0.4359 0.2424  1 Tl 3.43
Sr1 0.8492 0.0000 0.3820  2 Tl 3.52, 1 Sr 3.93
Sr2 0.6304 0.0000 0.1206  2 Tl 3.42
Sr3 0.3696 0.0000 0.8794  2 Tl 3.42
Sr4 0.1508 0.0000 0.6180  2 Tl 3.52, 1 Sr 3.93
Tl1 0.1135 0.7730 0.0000  1 Tl 3.37, 4 Sr 3.42-3.52, 2 Ba 3.43
Tl2 0.8865 0.2270 0.0000  1 Tl 3.37, 4 Sr 3.42-3.52, 2 Ba 3.43

=====

--- S ---
This record from Alexandria via LeMat-Bulk describes Ba2Sr2Tl after structural relaxation. The functional is PBE.

Values from the calculation:
N(E_F) in states/eV/f.u.: 7.24

a b c (Å): 9.0820 9.0820 6.6172
angles (deg): 90.00 90.00 90.00
Last column: nearest neighbours and their distance in Å.
Sites, in units of the cell vectors:
Sr1 0.1676 0.6676 0.5000  6 Ba 4.04-4.40, 1 Sr 4.31
Sr2 0.6676 0.8324 0.5000  6 Ba 4.04-4.40, 1 Sr 4.31
Sr3 0.8324 0.3324 0.5000  6 Ba 4.04-4.40, 1 Sr 4.31
Sr4 0.3324 0.1676 0.5000  6 Ba 4.04-4.40, 1 Sr 4.31
Tl1 0.0000 0.0000 0.0000  4 Ba 3.45
Tl2 0.5000 0.5000 0.0000  4 Ba 3.45
Ba1 0.3482 0.8482 0.0000  2 Tl 3.45
Ba2 0.8482 0.6518 0.0000  2 Tl 3.45
Ba3 0.6518 0.1518 0.0000  2 Tl 3.45
Ba4 0.1518 0.3482 0.0000  2 Tl 3.45

=====

Least stable of them? S.

=====

--- P ---
This record from Alexandria via LeMat-Bulk describes BaSr3Tl after structural relaxation. The functional is PBE.

Values from the calculation:
N(E_F) in states/eV/f.u.: 7.68

a b c (Å): 8.8231 8.8231 8.9025
angles (deg): 105.40 115.88 106.96
Last column: nearest neighbours and their distance in Å.
Sites, in units of the cell vectors:
Ba1 0.7034 0.0605 0.7638  2 Tl 3.42-3.73
Ba2 0.2966 0.9395 0.2362  2 Tl 3.42-3.73
Sr1 0.8541 0.0517 0.2947  2 Tl 3.30-3.64
Sr2 0.2430 0.4405 0.2947  2 Tl 3.30-3.64
Sr3 0.7570 0.5595 0.7053  2 Tl 3.30-3.64
Sr4 0.7044 0.4478 0.1522  1 Tl 3.30
Sr5 0.1459 0.9483 0.7053  2 Tl 3.30-3.64
Sr6 0.2956 0.5522 0.8478  1 Tl 3.30
Tl1 0.6309 0.7493 0.3802  5 Sr 3.30-3.64, 1 Ba 3.42
Tl2 0.3691 0.2507 0.6198  5 Sr 3.30-3.64, 1 Ba 3.42

=====

--- Q ---
This record from Alexandria via LeMat-Bulk describes BaSr3Tl after structural relaxation. The functional is PBE.

Values from the calculation:
N(E_F) in states/eV/f.u.: 4.98

a b c (Å): 6.5127 6.5127 6.5127
angles (deg): 90.00 90.00 90.00
Last column: nearest neighbours and their distance in Å.
Sites, in units of the cell vectors:
Sr1 0.0000 0.5000 0.0000  2 Tl 3.26
Sr2 0.0000 0.0000 0.5000  2 Tl 3.26
Sr3 0.5000 0.0000 0.0000  2 Tl 3.26
Tl1 0.0000 0.0000 0.0000  6 Sr 3.26
Ba1 0.5000 0.5000 0.5000  12 Sr 4.61

=====

Least stable of them? Q.

=====

--- P ---
This record from Alexandria via LeMat-Bulk describes BaSr3Tl after structural relaxation. The functional is PBE.

Values from the calculation:
N(E_F) in states/eV/f.u.: 3.24

a b c (Å): 6.7056 6.7056 6.7056
angles (deg): 90.00 90.00 90.00
Last column: nearest neighbours and their distance in Å.
Sites, in units of the cell vectors:
Sr1 0.0000 0.5000 0.0000  2 Ba 3.35
Sr2 0.0000 0.0000 0.5000  2 Ba 3.35
Sr3 0.5000 0.0000 0.0000  2 Ba 3.35
Tl1 0.5000 0.5000 0.5000  12 Sr 4.74
Ba1 0.0000 0.0000 0.0000  6 Sr 3.35

=====

--- Q ---
This record from Alexandria via LeMat-Bulk describes BaSr3Tl after structural relaxation. The functional is PBE.

Values from the calculation:
N(E_F) in states/eV/f.u.: 6.12

a b c (Å): 4.1832 10.5703 11.4361
angles (deg): 104.50 100.53 90.02
Last column: nearest neighbours and their distance in Å.
Sites, in units of the cell vectors:
Ba1 0.8166 0.0685 0.8921  3 Ba 4.18-4.26, 9 Sr 4.25-4.59
Ba2 0.0137 0.1561 0.2832  3 Ba 4.18-4.26, 9 Sr 4.25-4.59
Sr1 0.6153 0.9096 0.4868  2 Tl 3.57
Sr2 0.2152 0.3150 0.6885  2 Tl 3.57
Sr3 0.4119 0.4280 0.0818  4 Tl 3.52-3.67, 1 Sr 3.87
Sr4 0.2370 0.7166 0.7316  2 Tl 3.46
Sr5 0.4186 0.7966 0.0936  4 Tl 3.52-3.67, 1 Sr 3.87
Sr6 0.5935 0.5081 0.4438  2 Tl 3.46
Tl1 0.0163 0.6731 0.2892  8 Sr 3.46-3.67
Tl2 0.8143 0.5515 0.8862  8 Sr 3.46-3.67

=====

Least stable of them? P.

=====

--- P ---
This record from Alexandria via LeMat-Bulk describes Ba4SrTl after structural relaxation. The functional is PBE.

Values from the calculation:
N(E_F) in states/eV/f.u.: 7.27

a b c (Å): 7.8125 11.6538 9.8341
angles (deg): 116.23 99.94 112.27
Last column: nearest neighbours and their distance in Å.
Sites, in units of the cell vectors:
Ba1 0.0460 0.1642 0.8040  2 Tl 3.76-3.80, 1 Ba 4.15, 1 Sr 4.18
Ba2 0.7754 0.7243 0.6641  2 Tl 3.52-3.54
Ba3 0.2581 0.6398 0.8040  2 Tl 3.76-3.80, 1 Ba 4.15, 1 Sr 4.18
Ba4 0.3886 0.9397 0.6641  2 Tl 3.52-3.54
Ba5 0.6114 0.0603 0.3359  2 Tl 3.52-3.54
Ba6 0.7419 0.3602 0.1960  2 Tl 3.76-3.80, 1 Ba 4.15, 1 Sr 4.18
Ba7 0.2246 0.2757 0.3359  2 Tl 3.52-3.54
Ba8 0.9540 0.8358 0.1960  2 Tl 3.76-3.80, 1 Ba 4.15, 1 Sr 4.18
Sr1 0.3566 0.6066 0.2132  8 Ba 4.18-4.49
Sr2 0.6434 0.3934 0.7868  8 Ba 4.18-4.49
Tl1 0.2505 0.0005 0.0011  8 Ba 3.52-3.80, 2 Tl 3.91
Tl2 0.7495 0.9995 0.9989  8 Ba 3.52-3.80, 2 Tl 3.91

=====

--- Q ---
This record from Alexandria via LeMat-Bulk describes Ba4SrTl after structural relaxation. The functional is PBE.

Values from the calculation:
N(E_F) in states/eV/f.u.: 7.86

a b c (Å): 4.3510 4.3510 17.3750
angles (deg): 90.00 90.00 90.00
Last column: nearest neighbours and their distance in Å.
Sites, in units of the cell vectors:
Ba1 0.5000 0.5000 0.8835  4 Tl 3.68, 1 Ba 4.05
Ba2 0.5000 0.5000 0.1165  4 Tl 3.68, 1 Ba 4.05
Ba3 0.0000 0.0000 0.6814  8 Ba 4.35-4.67, 4 Sr 4.40-4.41
Ba4 0.0000 0.0000 0.3186  8 Ba 4.35-4.67, 4 Sr 4.40-4.41
Sr1 0.5000 0.5000 0.5000  4 Sr 4.35, 8 Ba 4.40-4.41
Tl1 0.0000 0.0000 0.0000  8 Ba 3.68

=====

--- R ---
This record from Alexandria via LeMat-Bulk describes Ba4SrTl after structural relaxation. The functional is PBE.

Values from the calculation:
N(E_F) in states/eV/f.u.: 10.42

a b c (Å): 7.7724 7.7724 7.7724
angles (deg): 60.00 60.00 60.00
Last column: nearest neighbours and their distance in Å.
Sites, in units of the cell vectors:
Ba1 0.8782 0.3739 0.3739  6 Ba 3.85-3.92
Ba2 0.3739 0.3739 0.8782  6 Ba 3.85-3.92
Ba3 0.3739 0.8782 0.3739  6 Ba 3.85-3.92
Ba4 0.3739 0.3739 0.3739  6 Ba 3.85-3.92
Sr1 0.7500 0.7500 0.7500  12 Ba 4.56, 4 Tl 4.76
Tl1 0.0000 0.0000 0.0000  12 Ba 4.55, 4 Sr 4.76

=====

Least stable of them? R.

=====

--- P ---
This record from Alexandria via LeMat-Bulk describes Ba3SrV after structural relaxation. The functional is PBE.

Values from the calculation:
N(E_F) in states/eV/f.u.: 6.56

a b c (Å): 6.6022 6.6022 6.6022
angles (deg): 90.00 90.00 90.00
Last column: nearest neighbours and their distance in Å.
Sites, in units of the cell vectors:
Sr1 0.5000 0.5000 0.5000  12 Ba 4.67
Ba1 0.0000 0.5000 0.0000  2 V 3.30
Ba2 0.0000 0.0000 0.5000  2 V 3.30
Ba3 0.5000 0.0000 0.0000  2 V 3.30
V1 0.0000 0.0000 0.0000  6 Ba 3.30

=====

--- Q ---
This record from Alexandria via LeMat-Bulk describes Ba3SrV after structural relaxation. The functional is PBE.

Values from the calculation:
N(E_F) in states/eV/f.u.: 13.50

a b c (Å): 6.7532 6.7532 6.7532
angles (deg): 90.00 90.00 90.00
Last column: nearest neighbours and their distance in Å.
Sites, in units of the cell vectors:
Sr1 0.0000 0.0000 0.0000  6 Ba 3.38
Ba1 0.0000 0.5000 0.0000  2 Sr 3.38
Ba2 0.0000 0.0000 0.5000  2 Sr 3.38
Ba3 0.5000 0.0000 0.0000  2 Sr 3.38
V1 0.5000 0.5000 0.5000  12 Ba 4.78

=====

Least stable of them? Q.